Density functional theory data (PBE) for a relaxed ScInAs2 crystal.

Lattice parameters (Å, degrees): 6.9814 6.9814 6.9814 32.95 32.95 32.95
Sites, in units of the cell vectors:
1 In 0.2500 0.2500 0.2500
2 Sc 0.7500 0.7500 0.7500
3 As 0.0033 0.0033 0.0033
4 As 0.4967 0.4967 0.4967

* N(E_F): 1.776 states/eV/cell
* calculated total energy: -5.1468 eV per atom
* energy of formation: -0.555 eV/atom
* V: 89.6 Å³ per cell